No. 1
! PBE-GGA Li4InPb, optimized geometry; values from VASP
! * energy relative to the elements: -128 meV per atom
! * VASP energy: -2.48 eV/atom
! * space-group type: F-43m, No. 216
! * polymorph energy (0 for the lowest one): 160.2 meV/atom
! * M_tot: 0.5 μB per formula unit
&SYSTEM
  ibrav = 0, nat = 6, ntyp = 3
/
ATOMIC_SPECIES
Li 6.94 Li.upf
Pb 207.20 Pb.upf
In 114.82 In.upf
CELL_PARAMETERS angstrom
0.000 3.929 3.929
3.929 0.000 3.929
3.929 3.929 0.000
ATOMIC_POSITIONS angstrom
Li 2.946 2.946 2.946
Li 4.912 4.912 2.946
Li 2.946 4.912 4.912
Li 4.912 2.946 4.912
Pb 5.893 5.893 5.893
In 0.000 0.000 0.000



No. 2
! PBE-GGA Cs3Pm2MnSe6, optimized geometry; values from VASP
! * formation energy without anion corrections: -1198 meV per atom
! * VASP energy: -4.71 eV/atom
! * space-group type: C2/m, No. 12
! * M_tot: 0.0 μB per formula unit
&SYSTEM
  ibrav = 0, nat = 12, ntyp = 4
/
ATOMIC_SPECIES
Se 78.96 Se.upf
Pm 145.00 Pm.upf
Cs 132.91 Cs.upf
Mn 54.94 Mn.upf
CELL_PARAMETERS angstrom
-0.159 -6.001 4.124
0.589 -0.562 -7.237
8.123 2.445 1.705
ATOMIC_POSITIONS angstrom
Se 6.759 0.455 0.663
Se 1.410 -1.734 1.341
Se 1.794 -4.574 -2.071
Se 1.632 -0.121 -2.028
Se 6.921 -3.997 0.620
Se 7.143 -2.384 -2.749
Pm 0.091 -4.183 0.327
Pm 0.339 -2.380 -3.441
Cs 4.520 -0.290 -4.399
Cs 4.277 -2.059 -0.704
Cs 4.033 -3.828 2.991
Mn 0.000 0.000 0.000



No. 3
! PBE-GGA LiTlPbF4, optimized geometry; values from VASP
! * formation energy without anion corrections: -2324 meV per atom
! * VASP energy: -4.53 eV/atom
! * space-group type: P2_1/m, No. 11
! * M_tot: 0.0 μB per formula unit
&SYSTEM
  ibrav = 0, nat = 14, ntyp = 4
/
ATOMIC_SPECIES
Tl 204.38 Tl.upf
F 19.00 F.upf
Li 6.94 Li.upf
Pb 207.20 Pb.upf
CELL_PARAMETERS angstrom
5.765 0.000 -0.500
0.000 5.947 0.000
-2.872 0.000 7.869
ATOMIC_POSITIONS angstrom
Tl 2.659 1.487 0.719
Tl 0.234 4.460 6.650
F -1.629 2.912 5.546
F 1.661 4.460 1.294
F 4.521 3.035 1.823
F 1.232 1.487 6.075
F 4.521 5.885 1.823
F 2.232 1.487 3.357
F 0.660 4.460 4.012
F -1.629 0.061 5.546
Li 0.010 4.460 2.161
Li 2.883 1.487 5.208
Pb -0.155 1.487 4.092
Pb 3.047 4.460 3.277



No. 4
! PBE-GGA Pr7TlIn5, optimized geometry; values from VASP
! * energy relative to the elements: -287 meV per atom
! * VASP energy: -4.10 eV/atom
! * space-group type: Imm2, No. 44
! * M_tot: 0.0 μB per formula unit
&SYSTEM
  ibrav = 0, nat = 13, ntyp = 3
/
ATOMIC_SPECIES
Pr 140.91 Pr.upf
In 114.82 In.upf
Tl 204.38 Tl.upf
CELL_PARAMETERS angstrom
6.789 0.000 0.000
3.394 7.777 0.212
3.394 0.187 7.778
ATOMIC_POSITIONS angstrom
Pr 3.394 1.714 1.719
Pr 6.789 6.267 1.386
Pr 3.394 2.524 5.263
Pr 6.789 5.914 5.933
Pr 3.394 5.255 2.541
Pr 6.789 3.055 3.065
Pr 6.789 1.366 6.271
In 10.183 5.832 5.851
In 11.760 7.830 3.945
In 8.607 3.919 7.843
In 11.760 3.919 7.843
In 8.607 7.830 3.945
Tl 6.789 0.324 0.325



No. 5
! PBE-GGA UGaH, optimized geometry; values from VASP
! * VASP energy: -6.07 eV/atom
! * space-group type: P2_1/m, No. 11
! * polymorph energy (0 for the lowest one): 0.0 meV/atom
! * M_tot: 0.9 μB per formula unit
&SYSTEM
  ibrav = 0, nat = 6, ntyp = 3
/
ATOMIC_SPECIES
U 238.03 U.upf
H 1.01 H.upf
Ga 69.72 Ga.upf
CELL_PARAMETERS angstrom
-0.131 3.402 1.027
-2.057 -1.411 4.412
4.997 -0.020 0.705
ATOMIC_POSITIONS angstrom
U 0.244 0.061 4.632
U 1.960 1.647 5.755
H 0.189 1.269 0.620
H -0.925 1.868 4.651
Ga 1.157 2.479 2.892
Ga 3.104 0.637 3.083



No. 6
! PBE-GGA SmScCl4, optimized geometry; values from VASP
! * formation energy without anion corrections: -1836 meV per atom
! * VASP energy: -4.91 eV/atom
! * space-group type: C2/c, No. 15
! * M_tot: 0.0 μB per formula unit
&SYSTEM
  ibrav = 0, nat = 12, ntyp = 3
/
ATOMIC_SPECIES
Sm 150.36 Sm.upf
Sc 44.96 Sc.upf
Cl 35.45 Cl.upf
CELL_PARAMETERS angstrom
-1.670 -5.852 -2.497
0.226 -0.378 6.592
-7.045 5.168 -1.664
ATOMIC_POSITIONS angstrom
Sm -7.271 0.348 -0.286
Sm -1.219 -1.410 2.717
Sc -2.129 -4.158 -1.830
Sc -6.361 3.096 4.261
Cl -5.170 1.586 -1.426
Cl -3.319 -2.648 3.858
Cl -2.531 0.730 1.745
Cl -0.877 -0.059 5.146
Cl -7.612 -1.003 -2.714
Cl -6.676 1.633 2.131
Cl -1.813 -2.694 0.301
Cl -5.958 -1.791 0.686



No. 7
! PBE-GGA TePt2Rh, optimized geometry; values from VASP
! * formation energy without anion corrections: 34 meV per atom
! * VASP energy: -5.61 eV/atom
! * space-group type: Cm, No. 8
! * polymorph energy (0 for the lowest one): 54.0 meV/atom
! * M_tot: 0.0 μB per formula unit
&SYSTEM
  ibrav = 0, nat = 4, ntyp = 3
/
ATOMIC_SPECIES
Te 127.60 Te.upf
Rh 102.91 Rh.upf
Pt 195.08 Pt.upf
CELL_PARAMETERS angstrom
1.737 4.347 0.016
-1.737 4.347 0.016
0.000 1.273 4.598
ATOMIC_POSITIONS angstrom
Te 0.000 2.489 1.266
Rh 0.000 4.993 2.262
Pt 0.000 7.478 3.479
Pt 0.000 1.262 4.537



No. 8
! PBE-GGA ZrB2S6, optimized geometry; values from VASP
! * formation energy without anion corrections: -488 meV per atom
! * VASP energy: -5.67 eV/atom
! * space-group type: C2/c, No. 15
! * M_tot: 0.0 μB per formula unit
&SYSTEM
  ibrav = 0, nat = 18, ntyp = 3
/
ATOMIC_SPECIES
S 32.06 S.upf
Zr 91.22 Zr.upf
B 10.81 B.upf
CELL_PARAMETERS angstrom
-4.145 2.867 3.442
-3.503 -6.427 2.747
3.495 -1.268 6.877
ATOMIC_POSITIONS angstrom
S -1.030 -2.449 3.313
S -3.123 -2.379 9.754
S -0.006 -6.167 9.297
S -1.981 -4.498 7.484
S -4.147 1.339 3.770
S -4.910 -4.066 8.310
S -2.172 -0.329 5.583
S 0.757 -0.762 4.756
S -4.489 -1.668 4.604
S -1.086 0.635 2.632
S 0.336 -3.160 8.463
S -3.067 -5.462 10.434
Zr 1.464 -1.285 7.151
Zr -5.617 -3.543 5.915
B -3.148 -4.170 9.047
B -4.010 0.089 5.190
B -1.005 -0.658 4.019
B -0.143 -4.916 7.877